Compound: Tl4HgBr6
Source: Alexandria via LeMat-Bulk
Functional: PBEsol
Structure: optimized geometry

Fermi-level density of states = 0.0 states/eV per cell
space-group type = P4/mnc
energy relative to the elements, uncorrected = -0.6951 eV per atom

Cell lengths 8.678, 8.678, 8.792 Å; angles 90.00, 90.00, 90.00 degrees
Element x y z (fractional)
Tl 0.147 0.353 0.250
Tl 0.147 0.353 0.750
Tl 0.353 0.853 0.250
Tl 0.353 0.853 0.750
Tl 0.647 0.147 0.250
Tl 0.647 0.147 0.750
Tl 0.853 0.647 0.250
Tl 0.853 0.647 0.750
Hg 0.000 0.000 0.000
Hg 0.500 0.500 0.500
Br 0.000 0.000 0.293
Br 0.000 0.000 0.707
Br 0.143 0.681 0.000
Br 0.181 0.643 0.500
Br 0.319 0.143 0.000
Br 0.357 0.181 0.500
Br 0.500 0.500 0.207
Br 0.500 0.500 0.793
Br 0.643 0.819 0.500
Br 0.681 0.857 0.000
Br 0.819 0.357 0.500
Br 0.857 0.319 0.000

=====

Compound: TlHgBr
Source: Alexandria via LeMat-Bulk
Functional: PBEsol
Structure: optimized geometry

Fermi-level density of states = 0.0 states/eV per cell
space-group type = F-43m
energy relative to the elements, uncorrected = -0.3863 eV per atom

Cell lengths 5.261, 5.261, 5.261 Å; angles 60.00, 60.00, 60.00 degrees
Element x y z (fractional)
Tl 0.000 0.000 0.000
Hg 0.250 0.250 0.250
Br 0.750 0.750 0.750

=====

Compound: HgWBr2
Source: Alexandria via LeMat-Bulk
Functional: PBEsol
Structure: optimized geometry

Fermi-level density of states = 3.3 states/eV per cell
space-group type = R-3m
energy relative to the elements, uncorrected = 0.4043 eV per atom

Cell lengths 11.160, 11.160, 11.160 Å; angles 15.96, 15.96, 15.96 degrees
Element x y z (fractional)
Hg 0.000 0.000 0.000
W 0.500 0.500 0.500
Br 0.428 0.428 0.428
Br 0.572 0.572 0.572

=====

Compound: HgW2Br
Source: Alexandria via LeMat-Bulk
Functional: PBEsol
Structure: optimized geometry

Fermi-level density of states = 3.2 states/eV per cell
space-group type = C2/m
energy relative to the elements, uncorrected = 1.2011 eV per atom

Cell lengths 5.792, 5.792, 2.988 Å; angles 102.71, 102.71, 123.53 degrees
Element x y z (fractional)
Hg 0.000 0.000 0.000
W 0.000 0.500 0.000
W 0.500 0.000 0.000
Br 0.500 0.500 0.000

=====

Compound: HgWBr
Source: Alexandria via LeMat-Bulk
Functional: PBEsol
Structure: optimized geometry

Fermi-level density of states = 2.4 states/eV per cell
space-group type = F-43m
energy relative to the elements, uncorrected = 1.8377 eV per atom

Cell lengths 4.479, 4.479, 4.479 Å; angles 60.00, 60.00, 60.00 degrees
Element x y z (fractional)
Hg 0.000 0.000 0.000
W 0.500 0.500 0.500
Br 0.250 0.250 0.250

=====

Compound: HgW2Br
Source: Alexandria via LeMat-Bulk
Functional: PBEsol
Structure: optimized geometry

Fermi-level density of states = 2.4 states/eV per cell
space-group type = I-4m2
energy relative to the elements, uncorrected = 1.2762 eV per atom

Cell lengths 4.805, 4.805, 4.805 Å; angles 125.42, 125.42, 80.84 degrees
Element x y z (fractional)
Hg 0.000 0.000 0.000
W 0.500 0.500 0.000
W 0.750 0.250 0.500
Br 0.250 0.750 0.500

=====

Compound: Hg3WBr
Source: Alexandria via LeMat-Bulk
Functional: PBEsol
Structure: optimized geometry

Fermi-level density of states = 2.8 states/eV per cell
space-group type = Pm-3m
energy relative to the elements, uncorrected = 0.9556 eV per atom

Cell lengths 5.332, 5.332, 5.332 Å; angles 90.00, 90.00, 90.00 degrees
Element x y z (fractional)
Hg 0.000 0.000 0.500
Hg 0.000 0.500 0.000
Hg 0.500 0.000 0.000
W 0.000 0.000 0.000
Br 0.500 0.500 0.500

=====

Compound: HgW2Br
Source: Alexandria via LeMat-Bulk
Functional: PBEsol
Structure: optimized geometry

Fermi-level density of states = 3.3 states/eV per cell
space-group type = P4/mmm
energy relative to the elements, uncorrected = 1.2740 eV per atom

Cell lengths 2.863, 2.863, 8.413 Å; angles 90.00, 90.00, 90.00 degrees
Element x y z (fractional)
Hg 0.000 0.000 0.000
W 0.500 0.500 0.256
W 0.500 0.500 0.744
Br 0.000 0.000 0.500

=====

- Number 2 is which compound?
  TlHgBr